## Ge2Rh2Au (GGA-PBE)

Data for a relaxed structure of Ge2Rh2Au.

The formation energy is -0.21 eV/atom. The value obtained for the total magnetic moment is 0.00 μB per formula unit. Its crystal system is tetragonal. Its density of states at the Fermi level is 5.9 states/eV/cell.

The space group is I4/mmm (No. 139) and the conventional cell measures 4.1400, 4.1400 and 10.0086 Å, with angles of 90.00, 90.00 and 90.00 degrees. The distinct sites, in fractional coordinates, are Ge at (0.0000, 0.0000, 0.1204), Rh at (0.0000, 0.5000, 0.2500) and Au at (0.0000, 0.0000, 0.5000).